Entry from the Alexandria database: TbPr2Ga2 after structural relaxation (PBE).

```
TbPr2Ga2
1.0
4.757 0.000 0.000
2.378 6.046 -0.147
2.378 0.677 9.622
Tb Pr Ga
2 4 4
Direct
0.796 0.052 0.356
0.204 0.948 0.644
0.310 0.279 0.102
0.477 0.361 0.685
0.690 0.721 0.898
0.523 0.639 0.315
0.956 0.174 0.913
0.125 0.323 0.426
0.044 0.826 0.087
0.875 0.677 0.574
```

The volume comes out at 277 Å³ per cell. Its relative energy among the computed polymorphs is 0.07 eV/f.u. For the formation energy, the calculation gives -222 kJ/mol of formula units.